## Pr8Al2Cu (PBE)

Data for Pr8Al2Cu after structural relaxation.

Output
Density of states at the Fermi level ... 1.26 states/eV/atom
ΔE_f ... -0.05 eV per atom

Lattice parameters (Å, degrees): 5.163 8.901 14.441 90.00 90.00 90.00
Space group Immm (No. 71)
Unique sites:
1 Pr 0.000 0.000 0.134
2 Pr 0.000 0.219 0.343
3 Pr 0.000 0.330 0.000
4 Al 0.000 0.500 0.200
5 Cu 0.000 0.500 0.500